This record from Alexandria via LeMat-Bulk describes MgSe2SBr after structural relaxation. The functional is GGA-PBEsol. Values from VASP.

```
&SYSTEM
  ibrav = 0, nat = 5, ntyp = 4
/
ATOMIC_SPECIES
Mg 24.30 Mg.upf
S 32.06 S.upf
Se 78.96 Se.upf
Br 79.90 Br.upf
CELL_PARAMETERS angstrom
-3.6077 -0.9971 2.9587
3.0192 -3.0488 2.6540
1.3360 3.8791 2.9364
ATOMIC_POSITIONS crystal
Mg 0.0000 0.0000 0.0000
S 0.5000 0.5000 0.5000
Se 0.0000 0.0000 0.5000
Se 0.0000 0.5000 0.0000
Br 0.5000 0.0000 0.0000
```

Summary:
Calculated volume, Å³/atom: 24.29
SG: P4/mmm, No. 123
Raw formation energy, eV/atom: 0.365
ρ, Mg/m³: 4.0
Crystal system: tetragonal

***

This record from Alexandria via LeMat-Bulk describes Mg2TeSBr after structural relaxation. The functional is GGA-PBEsol. Values from VASP.

```
&SYSTEM
  ibrav = 0, nat = 5, ntyp = 4
/
ATOMIC_SPECIES
S 32.06 S.upf
Te 127.60 Te.upf
Mg 24.30 Mg.upf
Br 79.90 Br.upf
CELL_PARAMETERS angstrom
5.2655 0.0000 0.0000
0.0000 5.2655 0.0000
0.0000 0.0000 5.3738
ATOMIC_POSITIONS crystal
S 0.5000 0.5000 0.5000
Te 0.0000 0.0000 0.5000
Mg 0.0000 0.5000 0.0000
Mg 0.5000 0.0000 0.0000
Br 0.0000 0.0000 0.0000
```

Summary:
Calculated volume, Å³/atom: 29.80
SG: P4/mmm, No. 123
Raw formation energy, eV/atom: 0.520
ρ, Mg/m³: 3.2
Crystal system: tetragonal

***

Which of these has the lowest calculated volume? MgSe2SBr

***

calculated volume of number 1 (MgSe2SBr)? 24.29 Å³/atom

***

Please write out number 1 again, unchanged.
This record from Alexandria via LeMat-Bulk describes MgSe2SBr after structural relaxation. The functional is GGA-PBEsol. Values from VASP.

```
&SYSTEM
  ibrav = 0, nat = 5, ntyp = 4
/
ATOMIC_SPECIES
Mg 24.30 Mg.upf
S 32.06 S.upf
Se 78.96 Se.upf
Br 79.90 Br.upf
CELL_PARAMETERS angstrom
-3.6077 -0.9971 2.9587
3.0192 -3.0488 2.6540
1.3360 3.8791 2.9364
ATOMIC_POSITIONS crystal
Mg 0.0000 0.0000 0.0000
S 0.5000 0.5000 0.5000
Se 0.0000 0.0000 0.5000
Se 0.0000 0.5000 0.0000
Br 0.5000 0.0000 0.0000
```

Summary:
Calculated volume, Å³/atom: 24.29
SG: P4/mmm, No. 123
Raw formation energy, eV/atom: 0.365
ρ, Mg/m³: 4.0
Crystal system: tetragonal